1.
This record from Alexandria via LeMat-Bulk describes NaLiPrAu after structural relaxation. The functional is PBE-GGA.

abc: 5.1515 5.1515 5.1515
angles: 60.00 60.00 60.00
Fractional positions:
Pr 0.7500 0.7500 0.7500
Na 0.2500 0.2500 0.2500
Au 0.0000 0.0000 0.0000
Li 0.5000 0.5000 0.5000

Results
energy of formation	-0.2285	eV/atom
magnetic moment	0.00	μB/f.u.
space group	F-43m, No. 216

---

2.
This record from Alexandria via LeMat-Bulk describes NaLiPtAu after structural relaxation. The functional is PBE-GGA.

abc: 4.6051 4.6051 4.6051
angles: 60.00 60.00 60.00
Fractional positions:
Na 0.0000 0.0000 0.0000
Au 0.5000 0.5000 0.5000
Pt 0.7500 0.7500 0.7500
Li 0.2500 0.2500 0.2500

Results
energy of formation	-0.2781	eV/atom
magnetic moment	0.00	μB/f.u.
space group	F-43m, No. 216

---

3.
This record from Alexandria via LeMat-Bulk describes NaLi2PuAu4 after structural relaxation. The functional is PBE-GGA.

abc: 4.5684 4.5684 9.5565
angles: 76.17 76.17 60.00
Last column: magnetic moment on the atom in μB.
Fractional positions:
Na 0.5000 0.5000 0.5000  0.00
Li 0.7605 0.7605 0.7186  0.01
Li 0.2395 0.2395 0.2814  0.01
Pu 0.0000 0.0000 0.0000  5.29
Au 0.3908 0.3908 0.8275  0.01
Au 0.8881 0.8881 0.3356  0.01
Au 0.1119 0.1119 0.6644  0.01
Au 0.6092 0.6092 0.1725  0.01

Results
energy of formation	-0.4060	eV/atom
magnetic moment	5.69	μB/f.u.
space group	R-3m, No. 166

---

4.
This record from Alexandria via LeMat-Bulk describes RbNaLi2Au after structural relaxation. The functional is PBE-GGA.

abc: 5.2911 5.2911 5.7759
angles: 90.00 90.00 90.00
Fractional positions:
Na 0.0000 0.0000 0.5000
Au 0.0000 0.0000 0.0000
Rb 0.5000 0.5000 0.5000
Li 0.0000 0.5000 0.0000
Li 0.5000 0.0000 0.0000

Results
energy of formation	-0.1128	eV/atom
magnetic moment	0.00	μB/f.u.
space group	P4/mmm, No. 123

---

5.
This record from Alexandria via LeMat-Bulk describes RbNaLiAu2 after structural relaxation. The functional is PBE-GGA.

abc: 6.0648 5.4943 6.0648
angles: 90.00 90.00 90.00
Fractional positions:
Na 0.5000 0.5000 0.5000
Au 0.0000 0.0000 0.5000
Au 0.5000 0.0000 0.0000
Rb 0.0000 0.0000 0.0000
Li 0.0000 0.5000 0.0000

Results
energy of formation	0.4998	eV/atom
magnetic moment	0.00	μB/f.u.
space group	P4/mmm, No. 123

---

6.
This record from Alexandria via LeMat-Bulk describes RbNa2LiAu after structural relaxation. The functional is PBE-GGA.

abc: 5.8293 5.2997 5.8293
angles: 90.00 90.00 90.00
Fractional positions:
Na 0.0000 0.0000 0.5000
Na 0.5000 0.0000 0.0000
Au 0.0000 0.0000 0.0000
Rb 0.5000 0.5000 0.5000
Li 0.0000 0.5000 0.0000

Results
energy of formation	-0.1069	eV/atom
magnetic moment	0.00	μB/f.u.
space group	P4/mmm, No. 123

---

7.
This record from Alexandria via LeMat-Bulk describes NaLiRuAu2 after structural relaxation. The functional is PBE-GGA.

abc: 5.0405 4.7187 5.0405
angles: 90.00 90.00 90.00
Last column: magnetic moment on the atom in μB.
Fractional positions:
Ru 0.0000 0.0000 0.0000  1.21
Li 0.0000 0.5000 0.0000  -0.01
Au 0.0000 0.0000 0.5000  0.21
Au 0.5000 0.0000 0.0000  0.05
Na 0.5000 0.5000 0.5000  -0.01

Results
energy of formation	0.4407	eV/atom
magnetic moment	1.44	μB/f.u.
space group	P4/mmm, No. 123

---

8.
This record from Alexandria via LeMat-Bulk describes NaLi2Sb2Au2 after structural relaxation. The functional is PBE-GGA.

abc: 4.5850 4.5850 9.1642
angles: 75.51 75.51 60.00
Fractional positions:
Na 0.0000 0.0000 0.0000
Li 0.1408 0.1408 0.5775
Li 0.8592 0.8592 0.4225
Sb 0.7480 0.7480 0.7561
Sb 0.2520 0.2520 0.2439
Au 0.5594 0.5594 0.3218
Au 0.4406 0.4406 0.6782

Results
energy relative to the elements, uncorrected	-473	meV per atom
magnetic moment	0.00	μB/f.u.
space group	R-3m, No. 166